Entry from the Alexandria database: a relaxed RbPIrCl2 crystal (PBE). Values from VASP.

The structure in Quantum ESPRESSO input format:
```
&SYSTEM
  ibrav = 0, nat = 5, ntyp = 4
/
ATOMIC_SPECIES
Cl 35.45 Cl.upf
Rb 85.47 Rb.upf
Ir 192.22 Ir.upf
P 30.97 P.upf
CELL_PARAMETERS angstrom
6.033 0.000 0.000
0.000 6.033 0.000
0.000 0.000 6.681
ATOMIC_POSITIONS crystal
Cl 0.000 0.500 0.000
Cl 0.500 0.000 0.000
Rb 0.000 0.000 0.000
Ir 0.500 0.500 0.500
P 0.000 0.000 0.500
```

Results
ΔE_f (raw)   1.49 eV/atom
Spin magnetization   1.07 μB/f.u.
N(E_F)   2.5871 states/eV/atom
DFT total energy   -11.5 eV per cell
Distance to the lowest polymorph of the same formula   1.9818 eV per atom
Theoretical density   2.59 Mg/m³